The following is a DFT calculation (PBE) of a relaxed structure of Rb3Np2MnTe6.

Geometry as CIF:
```
data_Rb3Np2MnTe6
_chemical_formula_sum 'Rb3 Np2 Mn1 Te6'
_space_group_name_H-M_alt 'P 1'
_space_group_IT_number 1
_cell_length_a 7.7911
_cell_length_b 7.7911
_cell_length_c 8.8652
_cell_angle_alpha 98.45
_cell_angle_beta 98.45
_cell_angle_gamma 120.06
loop_
_space_group_symop_operation_xyz
'x,y,z'
loop_
_atom_site_label
_atom_site_type_symbol
_atom_site_fract_x
_atom_site_fract_y
_atom_site_fract_z
Rb1 Rb 0.1693 0.8307 0.5000
Rb2 Rb 0.8307 0.1693 0.5000
Rb3 Rb 0.5000 0.5000 0.5000
Np1 Np 0.3337 0.6663 0.0000
Np2 Np 0.6663 0.3337 0.0000
Mn1 Mn 0.0000 0.0000 0.0000
Te1 Te 0.9362 0.6152 0.8081
Te2 Te 0.7437 0.7437 0.1931
Te3 Te 0.0638 0.3848 0.1919
Te4 Te 0.6152 0.9362 0.8081
Te5 Te 0.2563 0.2563 0.8069
Te6 Te 0.3848 0.0638 0.1919
```

The calculation puts the total DFT energy (no corrections) at -65.80 eV per formula unit. As for the space group: C2/m.

The following is a DFT calculation (PBE) of a relaxed structure of Sm2GeCl3.

Geometry as CIF:
```
data_Sm2GeCl3
_chemical_formula_sum 'Sm4 Ge2 Cl6'
_space_group_name_H-M_alt 'P 1'
_space_group_IT_number 1
_cell_length_a 4.0848
_cell_length_b 9.4931
_cell_length_c 10.1591
_cell_angle_alpha 81.05
_cell_angle_beta 78.40
_cell_angle_gamma 77.58
loop_
_space_group_symop_operation_xyz
'x,y,z'
loop_
_atom_site_label
_atom_site_type_symbol
_atom_site_fract_x
_atom_site_fract_y
_atom_site_fract_z
Sm1 Sm 0.8722 0.4290 0.8265
Sm2 Sm 0.1278 0.5710 0.1735
Sm3 Sm 0.6175 0.2082 0.5568
Sm4 Sm 0.3825 0.7918 0.4432
Ge1 Ge 0.4363 0.5042 0.6233
Ge2 Ge 0.5637 0.4958 0.3767
Cl1 Cl 0.0497 0.1448 0.7559
Cl2 Cl 0.9503 0.8552 0.2441
Cl3 Cl 0.6770 0.6673 0.9786
Cl4 Cl 0.3230 0.3327 0.0214
Cl5 Cl 0.7571 0.8789 0.6070
Cl6 Cl 0.2429 0.1211 0.3930
```

The calculation puts the total DFT energy (no corrections) at -29.50 eV per formula unit. As for the space group: C2/m.

> Which value of total DFT energy (no corrections) does entry 1 give?

-65.80 eV per formula unit

> Which of these has the lowest total DFT energy (no corrections)?

Rb3Np2MnTe6